(1)
# PrHfI2 GGA-PBE relaxed
# VASP energy	-18.81	eV/f.u.
data_PrHfI2
_chemical_formula_sum 'Pr3 Hf3 I6'
_space_group_name_H-M_alt 'R -3 m'
_space_group_IT_number 166
_space_group_name_Hall '-R 3 2"'
_cell_length_a 3.7323
_cell_length_b 3.7323
_cell_length_c 31.6376
_cell_angle_alpha 90.00
_cell_angle_beta 90.00
_cell_angle_gamma 120.00
loop_
_atom_site_label
_atom_site_type_symbol
_atom_site_fract_x
_atom_site_fract_y
_atom_site_fract_z
Pr1 Pr 0.0000 0.0000 0.0000
Hf1 Hf 0.0000 0.0000 0.5000
I1 I 0.0000 0.0000 0.4092

(2)
# CaOsO2F GGA-PBE relaxed
# VASP energy	-32.34	eV/f.u.
data_CaOsO2F
_chemical_formula_sum 'Ca1 Os1 O2 F1'
_space_group_name_H-M_alt 'P 4/m m m'
_space_group_IT_number 123
_space_group_name_Hall '-P 4 2'
_cell_length_a 3.863
_cell_length_b 3.863
_cell_length_c 4.755
_cell_angle_alpha 90.00
_cell_angle_beta 90.00
_cell_angle_gamma 90.00
loop_
_atom_site_label
_atom_site_type_symbol
_atom_site_fract_x
_atom_site_fract_y
_atom_site_fract_z
Ca1 Ca 0.000 0.000 0.000
Os1 Os 0.500 0.500 0.500
O1 O 0.000 0.500 0.500
F1 F 0.500 0.500 0.000

(3)
# BTe2SN GGA-PBE relaxed
# relative energy among the computed polymorphs	1600	meV per atom
# VASP energy	-15.54	eV/f.u.
data_BTe2SN
_chemical_formula_sum 'B1 Te2 S1 N1'
_space_group_name_H-M_alt 'P 4/m m m'
_space_group_IT_number 123
_space_group_name_Hall '-P 4 2'
_cell_length_a 5.287
_cell_length_b 5.287
_cell_length_c 3.598
_cell_angle_alpha 90.00
_cell_angle_beta 90.00
_cell_angle_gamma 90.00
loop_
_atom_site_label
_atom_site_type_symbol
_atom_site_fract_x
_atom_site_fract_y
_atom_site_fract_z
B1 B 0.000 0.000 0.000
Te1 Te 0.000 0.500 0.500
S1 S 0.000 0.000 0.500
N1 N 0.500 0.500 0.000

(4)
# LiDySn2Te4 GGA-PBE relaxed
# VASP energy	-32.97	eV/f.u.
data_LiDySn2Te4
_chemical_formula_sum 'Li1 Dy1 Sn2 Te4'
_space_group_name_H-M_alt 'P 1 2/m 1'
_space_group_IT_number 10
_space_group_name_Hall '-P 2y'
_cell_length_a 7.633
_cell_length_b 4.437
_cell_length_c 7.774
_cell_angle_alpha 90.00
_cell_angle_beta 108.89
_cell_angle_gamma 90.00
loop_
_atom_site_label
_atom_site_type_symbol
_atom_site_fract_x
_atom_site_fract_y
_atom_site_fract_z
Li1 Li 0.000 0.000 0.000
Dy1 Dy 0.500 0.500 0.000
Sn1 Sn 0.000 0.500 0.500
Sn2 Sn 0.500 0.000 0.500
Te1 Te 0.246 0.500 0.236
Te2 Te 0.253 0.000 0.762